No. 1
The following is a PBE-GGA calculation of a geometry-optimized Ca2In4Sn3 structure, from Alexandria via LeMat-Bulk.

a b c (Å): 5.9259 5.9259 10.7421
angles (deg): 109.50 109.50 44.31
Fractional coordinates of all 9 atoms:
Ca1 0.1632 0.1632 0.2237
Ca2 0.8368 0.8368 0.7763
In1 0.1679 0.1679 0.8971
In2 0.4912 0.4912 0.3333
In3 0.5088 0.5088 0.6667
In4 0.8321 0.8321 0.1029
Sn1 0.1652 0.1652 0.5475
Sn2 0.5000 0.5000 0.0000
Sn3 0.8348 0.8348 0.4525

Output
ΔH_f (0 K) = -267 meV per atom
Density = 6.05 g/cm³
Raw total energy = -29.370 eV per cell
Volume = 246 Å³/cell
M_tot = 0.0 μB per formula unit

***

No. 2
The following is a PBE-GGA calculation of a geometry-optimized AlTc2Sb structure, from Alexandria via LeMat-Bulk.

a b c (Å): 3.0063 3.0063 8.2695
angles (deg): 90.00 90.00 115.93
Fractional coordinates of all 4 atoms:
Al1 0.0000 0.0000 0.0000
Tc1 0.5000 0.5000 0.2441
Tc2 0.5000 0.5000 0.7559
Sb1 0.0000 0.0000 0.5000

Output
Density = 8.52 g/cm³
Raw total energy = -27.425 eV per cell
Volume = 67 Å³/cell
M_tot = 0.0 μB per formula unit
E_form (uncorrected) = 0.293 eV per atom

***

No. 3
The following is a PBE-GGA calculation of a geometry-optimized Ac3Al2Ga structure, from Alexandria via LeMat-Bulk.

a b c (Å): 13.1605 4.4356 13.3311
angles (deg): 90.00 90.00 90.00
Fractional coordinates of all 24 atoms:
Ac1 0.0638 0.2500 0.1212
Ac2 0.1154 0.7500 0.5536
Ac3 0.2002 0.2500 0.7860
Ac4 0.2998 0.7500 0.2860
Ac5 0.3846 0.2500 0.0536
Ac6 0.4362 0.7500 0.6212
Ac7 0.5638 0.2500 0.3788
Ac8 0.6154 0.7500 0.9464
Ac9 0.7002 0.2500 0.7140
Ac10 0.7998 0.7500 0.2140
Ac11 0.8846 0.2500 0.4464
Ac12 0.9362 0.7500 0.8788
Al1 0.0372 0.7500 0.3150
Al2 0.1965 0.7500 0.9821
Al3 0.3035 0.2500 0.4821
Al4 0.4628 0.2500 0.8150
Al5 0.5372 0.7500 0.1850
Al6 0.6965 0.7500 0.5179
Al7 0.8035 0.2500 0.0179
Al8 0.9628 0.2500 0.6850
Ga1 0.1368 0.2500 0.3635
Ga2 0.3632 0.7500 0.8635
Ga3 0.6368 0.2500 0.1365
Ga4 0.8632 0.7500 0.6365

Output
ΔH_f (0 K) = -315 meV per atom
Density = 6.87 g/cm³
Raw total energy = -98.908 eV per cell
Volume = 778 Å³/cell
M_tot = 0.0 μB per formula unit

***

No. 4
The following is a PBE-GGA calculation of a geometry-optimized LiTlNiCl4 structure, from Alexandria via LeMat-Bulk.

a b c (Å): 5.9545 7.0243 8.9141
angles (deg): 90.00 102.39 90.00
Fractional coordinates of all 14 atoms:
Li1 0.1289 0.2500 0.4934
Li2 0.8711 0.7500 0.5066
Tl1 0.2351 0.2500 0.0634
Tl2 0.7649 0.7500 0.9366
Ni1 0.2556 0.7500 0.3193
Ni2 0.7444 0.2500 0.6807
Cl1 0.0112 0.0137 0.6975
Cl2 0.0112 0.4863 0.6975
Cl3 0.3058 0.7500 0.0766
Cl4 0.4783 0.7500 0.5520
Cl5 0.5217 0.2500 0.4480
Cl6 0.6942 0.2500 0.9234
Cl7 0.9888 0.5137 0.3025
Cl8 0.9888 0.9863 0.3025

Output
Density = 3.76 g/cm³
Raw total energy = -48.638 eV per cell
Volume = 364 Å³/cell
M_tot = 2.0 μB per formula unit
E_form (uncorrected) = -0.982 eV per atom

***

No. 5
The following is a PBE-GGA calculation of a geometry-optimized Tb2ZnHg structure, from Alexandria via LeMat-Bulk.

a b c (Å): 5.1914 5.1914 5.1914
angles (deg): 60.00 60.00 60.00
Fractional coordinates of all 4 atoms:
Tb1 0.2500 0.2500 0.2500
Tb2 0.7500 0.7500 0.7500
Zn1 0.0000 0.0000 0.0000
Hg1 0.5000 0.5000 0.5000

Output
ΔH_f (0 K) = -393 meV per atom
Density = 9.80 g/cm³
Raw total energy = -12.409 eV per cell
Volume = 99 Å³/cell
M_tot = 0.5 μB per formula unit

***

No. 6
The following is a PBE-GGA calculation of a geometry-optimized InSb2Pt structure, from Alexandria via LeMat-Bulk.

a b c (Å): 5.0799 5.0799 5.0799
angles (deg): 60.00 60.00 60.00
Fractional coordinates of all 4 atoms:
In1 0.0000 0.0000 0.0000
Sb1 0.5000 0.5000 0.5000
Sb2 0.7500 0.7500 0.7500
Pt1 0.2500 0.2500 0.2500

Output
Density = 9.91 g/cm³
Raw total energy = -16.420 eV per cell
Volume = 93 Å³/cell
M_tot = 0.0 μB per formula unit
E_form (uncorrected) = 0.151 eV per atom

***

No. 7
The following is a PBE-GGA calculation of a geometry-optimized LiZrTlHg structure, from Alexandria via LeMat-Bulk.

a b c (Å): 4.9377 4.9377 4.9377
angles (deg): 60.00 60.00 60.00
Fractional coordinates of all 4 atoms:
Li1 0.0000 0.0000 0.0000
Zr1 0.5000 0.5000 0.5000
Tl1 0.7500 0.7500 0.7500
Hg1 0.2500 0.2500 0.2500

Output
ΔH_f (0 K) = -122 meV per atom
Density = 9.81 g/cm³
Raw total energy = -13.617 eV per cell
Volume = 85 Å³/cell
M_tot = 0.0 μB per formula unit

***

No. 8
The following is a PBE-GGA calculation of a geometry-optimized CaPr2ReO8 structure, from Alexandria via LeMat-Bulk.

a b c (Å): 4.7695 5.1791 7.1182
angles (deg): 89.34 78.14 85.64
Fractional coordinates of all 12 atoms:
Ca1 0.0000 0.0000 0.0000
Pr1 0.3842 0.4957 0.2763
Pr2 0.6158 0.5043 0.7237
Re1 0.0000 0.0000 0.5000
O1 0.1357 0.2843 0.6101
O2 0.2240 0.5798 0.9857
O3 0.2479 0.0540 0.2499
O4 0.2892 0.7773 0.5666
O5 0.7108 0.2227 0.4334
O6 0.7521 0.9460 0.7501
O7 0.7760 0.4202 0.0143
O8 0.8643 0.7157 0.3899

Output
Density = 6.16 g/cm³
Raw total energy = -92.291 eV per cell
Volume = 172 Å³/cell
M_tot = 0.9 μB per formula unit
E_form (uncorrected) = -2.385 eV per atom